A relaxed CsNiCl2 crystal. Source: Alexandria via LeMat-Bulk, functional PBE.

Cell and atoms, written as POSCAR:
```
CsNiCl2
1.0
7.596 0.000 0.000
0.000 7.596 0.000
0.000 0.000 7.596
Cs Ni Cl
4 4 8
Direct
0.000 0.000 0.000 Cs
0.000 0.500 0.500 Cs
0.500 0.000 0.500 Cs
0.500 0.500 0.000 Cs
0.000 0.000 0.500 Ni
0.000 0.500 0.000 Ni
0.500 0.000 0.000 Ni
0.500 0.500 0.500 Ni
0.250 0.250 0.250 Cl
0.250 0.250 0.750 Cl
0.250 0.750 0.250 Cl
0.250 0.750 0.750 Cl
0.750 0.250 0.250 Cl
0.750 0.250 0.750 Cl
0.750 0.750 0.250 Cl
0.750 0.750 0.750 Cl
```

Values from the calculation:
uncorrected formation energy = -327 meV/atom
symmetry = Fm-3m

A relaxed Sr4H7Rh crystal. Source: Alexandria via LeMat-Bulk, functional PBE.

Cell and atoms, written as POSCAR:
```
Sr4H7Rh
1.0
7.191 -1.967 0.000
7.191 1.967 0.000
-7.077 0.000 7.204
Sr H Rh
4 7 1
Direct
0.086 0.086 0.329 Sr
0.236 0.236 0.149 Sr
0.764 0.764 0.851 Sr
0.914 0.914 0.671 Sr
0.000 0.000 0.000 H
0.142 0.142 0.812 H
0.319 0.319 0.461 H
0.428 0.428 0.083 H
0.572 0.572 0.917 H
0.681 0.681 0.539 H
0.858 0.858 0.188 H
0.500 0.500 0.000 Rh
```

Values from the calculation:
symmetry = C2/m

A relaxed BaZnBr crystal. Source: Alexandria via LeMat-Bulk, functional PBE.

Cell and atoms, written as POSCAR:
```
BaZnBr
1.0
7.696 0.000 0.000
0.000 7.696 0.000
0.000 0.000 7.696
Ba Zn Br
4 4 4
Direct
0.000 0.000 0.000 Ba
0.000 0.500 0.500 Ba
0.500 0.000 0.500 Ba
0.500 0.500 0.000 Ba
0.000 0.000 0.500 Zn
0.000 0.500 0.000 Zn
0.500 0.000 0.000 Zn
0.500 0.500 0.500 Zn
0.250 0.250 0.750 Br
0.250 0.750 0.250 Br
0.750 0.250 0.250 Br
0.750 0.750 0.750 Br
```

Values from the calculation:
uncorrected formation energy = -743 meV/atom
symmetry = F-43m

A relaxed K2LiBiBr6 crystal. Source: Alexandria via LeMat-Bulk, functional PBE.

Cell and atoms, written as POSCAR:
```
K2LiBiBr6
1.0
0.000 5.578 5.578
5.578 0.000 5.578
5.578 5.578 0.000
K Li Bi Br
2 1 1 6
Direct
0.250 0.250 0.250 K
0.750 0.750 0.750 K
0.000 0.000 0.000 Li
0.500 0.500 0.500 Bi
0.244 0.244 0.756 Br
0.244 0.756 0.244 Br
0.244 0.756 0.756 Br
0.756 0.244 0.244 Br
0.756 0.244 0.756 Br
0.756 0.756 0.244 Br
```

Values from the calculation:
uncorrected formation energy = -1268 meV/atom
symmetry = Fm-3m

A relaxed Ca2In2Ga crystal. Source: Alexandria via LeMat-Bulk, functional PBE.

Cell and atoms, written as POSCAR:
```
Ca2In2Ga
1.0
8.644 0.000 0.000
0.000 8.644 0.000
0.000 0.000 3.992
Ca In Ga
4 4 2
Direct
0.168 0.332 0.000 Ca
0.332 0.832 0.000 Ca
0.668 0.168 0.000 Ca
0.832 0.668 0.000 Ca
0.131 0.631 0.500 In
0.369 0.131 0.500 In
0.631 0.869 0.500 In
0.869 0.369 0.500 In
0.000 0.000 0.000 Ga
0.500 0.500 0.000 Ga
```

Values from the calculation:
symmetry = P4/mbm
energy of formation from the pure elements = -0.16 eV per atom

A relaxed Tb3Pm2UN6 crystal. Source: Alexandria via LeMat-Bulk, functional PBE.

Cell and atoms, written as POSCAR:
```
Tb3Pm2UN6
1.0
3.051 -5.281 0.000
3.051 5.281 0.000
-2.038 0.000 5.716
Tb Pm U N
3 2 1 6
Direct
0.000 0.000 0.000 Tb
0.334 0.666 0.000 Tb
0.666 0.334 0.000 Tb
0.166 0.834 0.500 Pm
0.834 0.166 0.500 Pm
0.500 0.500 0.500 U
0.113 0.419 0.256 N
0.276 0.276 0.741 N
0.419 0.113 0.256 N
0.581 0.887 0.744 N
0.724 0.724 0.259 N
0.887 0.581 0.744 N
```

Values from the calculation:
uncorrected formation energy = -1578 meV/atom
symmetry = C2/m

no.,total DFT energy (no corrections) (eV per cell)
1,-46.54
2,-43.37
3,-28.39
4,-30.71
5,-26.59
6,-103.56